A relaxed LiVOF3 crystal. Source: Alexandria, functional PBE+U.

abc: 4.700 5.451 5.650
angles: 67.18 89.16 86.87
Space group P-1 (No. 2)
Symmetry-distinct sites (fractional):
1 Li 0.000 0.000 0.000 x1
2 Li 0.500 0.500 0.000 x1
3 V 0.000 0.500 0.500 x1
4 V 0.500 0.000 0.500 x1
5 O 0.222 0.188 0.606 x2
6 F 0.185 0.636 0.171 x2
7 F 0.282 0.669 0.645 x2
8 F 0.324 0.133 0.165 x2

The calculation puts the energy at -5.9361 eV per atom.


A relaxed Sr2MnSnO6 crystal. Source: Alexandria, functional PBE+U.

abc: 4.030 4.030 7.983
angles: 90.00 90.00 90.00
Space group P4/mmm (No. 123)
Symmetry-distinct sites (fractional):
1 Sr 0.000 0.000 0.233 x2
2 Mn 0.500 0.500 0.000 x1
3 Sn 0.500 0.500 0.500 x1
4 O 0.000 0.500 0.000 x2
5 O 0.000 0.500 0.500 x2
6 O 0.500 0.500 0.239 x2

The calculation puts the energy at -6.5470 eV per atom.


| no. | M_tot (μB per cell) |
| --- | --- |
| 1 | 2.00 |
| 2 | 3.31 |